First-principles (GGA-PBE) data for crystalline TeRuRh2 at its relaxed geometry, as listed in the Alexandria database.

Summary:
Its formation energy without anion corrections is 1.288 eV per formula unit. As for the spin magnetization: 0.73 μB/f.u.

Unit cell a=4.711 b=4.711 c=2.924 alpha=90.00 beta=90.00 gamma=90.00
Sites, in units of the cell vectors:
Te 0.000 0.000 0.000
Ru 0.500 0.500 0.000
Rh 0.000 0.500 0.500
Rh 0.500 0.000 0.500

---

First-principles (GGA-PBE) data for crystalline TeRuRh at its relaxed geometry, as listed in the Alexandria database.

Summary:
Its formation energy without anion corrections is 0.997 eV per formula unit. As for the spin magnetization: 0.98 μB/f.u. The polymorph energy (0 for the lowest one) is 1.00 eV per formula unit.

Unit cell a=3.231 b=3.231 c=9.686 alpha=90.00 beta=90.00 gamma=90.00
Sites, in units of the cell vectors:
Te 0.000 0.000 0.000
Te 0.500 0.500 0.500
Ru 0.000 0.000 0.653
Ru 0.500 0.500 0.153
Rh 0.000 0.000 0.338
Rh 0.500 0.500 0.838